Entry 1:
SrAg2Ru: PBEsol geometry, SCAN.

Cell and atoms, written as POSCAR:
```
SrAg2Ru
1.0
3.0334 0.0000 0.0000
0.0000 4.9058 0.0000
-1.5167 -2.4529 5.2452
Ag Sr Ru
2 1 1
direct
0.2807 0.2807 0.5615
0.7193 0.7193 0.4385
0.5000 0.0000 0.0000
0.0000 0.5000 0.0000
```

Calculated values
* electronic total energy: -29.496 eV per atom
* symmetry: No. 71

Entry 2:
Sr2AgRu: PBEsol geometry, SCAN.

Cell and atoms, written as POSCAR:
```
Sr2AgRu
1.0
-1.1220 1.3409 3.1775
1.8680 -2.5727 1.7452
6.7999 5.1047 0.2469
Sr Ru Ag
2 1 1
direct
0.0000 0.0000 0.9133
0.5000 0.5000 0.3397
0.5000 0.5000 0.6782
0.0000 0.0000 0.5689
```

Calculated values
* electronic total energy: -27.282 eV per atom
* symmetry: No. 99